(1)
Material: ZnOs2Br
Method: DFT, SCAN
State: PBEsol geometry

Calculated values
crystal system: monoclinic
distance to the lowest polymorph of the same formula: 474 meV per atom
DOS at the Fermi energy: 0.788 states/eV per atom
E_form (uncorrected): 1.019 eV per atom

a b c (Å): 2.865 4.588 4.905
angles (deg): 101.66 90.00 108.19
Fractional positions:
Br: 0.500 0.000 0.000
Os: 0.744 0.488 0.728
Os: 0.256 0.512 0.272
Zn: 0.000 0.000 0.500

(2)
Material: Zn2OsBr
Method: DFT, SCAN
State: PBEsol geometry

Calculated values
crystal system: cubic
distance to the lowest polymorph of the same formula: 428 meV per atom
DOS at the Fermi energy: 0.501 states/eV per atom
E_form (uncorrected): 1.124 eV per atom

a b c (Å): 4.475 4.475 4.475
angles (deg): 60.00 60.00 60.00
Fractional positions:
Br: 0.000 0.000 0.000
Os: 0.500 0.500 0.500
Zn: 0.250 0.250 0.250
Zn: 0.750 0.750 0.750

(3)
Material: P3Br
Method: DFT, SCAN
State: PBEsol geometry

Calculated values
crystal system: orthorhombic
distance to the lowest polymorph of the same formula: 0 meV per atom
DOS at the Fermi energy: 0.365 states/eV per atom
E_form (uncorrected): 0.389 eV per atom

a b c (Å): 3.018 7.502 9.212
angles (deg): 114.03 90.00 90.00
Fractional positions:
Br: 0.250 0.614 0.229
Br: 0.750 0.386 0.771
P: 0.750 0.112 0.223
P: 0.250 0.888 0.777
P: 0.750 0.659 0.611
P: 0.250 0.341 0.389
P: 0.750 0.952 0.611
P: 0.250 0.048 0.389

(4)
Material: P3Br
Method: DFT, SCAN
State: PBEsol geometry

Calculated values
crystal system: cubic
distance to the lowest polymorph of the same formula: 1860 meV per atom
DOS at the Fermi energy: 1.615 states/eV per atom
E_form (uncorrected): 2.249 eV per atom

a b c (Å): 4.866 4.866 4.866
angles (deg): 90.00 90.00 90.00
Fractional positions:
P: 0.500 0.000 0.000
P: 0.000 0.500 0.000
P: 0.000 0.000 0.500
Br: 0.000 0.000 0.000

(5)
Material: PBr3
Method: DFT, SCAN
State: PBEsol geometry

Calculated values
crystal system: orthorhombic
DOS at the Fermi energy: 0.000 states/eV per atom
E_form (uncorrected): -0.361 eV per atom

a b c (Å): 6.529 8.248 9.828
angles (deg): 90.00 90.00 90.00
Fractional positions:
Br: 0.830 0.172 0.924
Br: 0.330 0.328 0.076
Br: 0.170 0.828 0.424
Br: 0.670 0.672 0.576
Br: 0.170 0.828 0.076
Br: 0.670 0.672 0.924
Br: 0.830 0.172 0.576
Br: 0.330 0.328 0.424
Br: 0.288 0.125 0.750
Br: 0.788 0.375 0.250
Br: 0.712 0.875 0.250
Br: 0.212 0.625 0.750
P: 0.965 0.032 0.750
P: 0.465 0.468 0.250
P: 0.035 0.968 0.250
P: 0.535 0.532 0.750

(6)
Material: PBr5
Method: DFT, SCAN
State: PBEsol geometry

Calculated values
crystal system: orthorhombic
DOS at the Fermi energy: 0.000 states/eV per atom
E_form (uncorrected): -0.310 eV per atom

a b c (Å): 5.756 8.403 17.416
angles (deg): 90.00 90.00 90.00
Fractional positions:
Br: 0.269 0.750 0.036
Br: 0.731 0.250 0.964
Br: 0.731 0.750 0.536
Br: 0.269 0.250 0.464
Br: 0.290 0.750 0.243
Br: 0.710 0.250 0.757
Br: 0.710 0.750 0.743
Br: 0.290 0.250 0.257
Br: 0.719 0.964 0.132
Br: 0.281 0.464 0.868
Br: 0.281 0.536 0.632
Br: 0.719 0.036 0.368
Br: 0.281 0.036 0.868
Br: 0.719 0.536 0.132
Br: 0.719 0.464 0.368
Br: 0.281 0.964 0.632
Br: 0.021 0.750 0.389
Br: 0.979 0.250 0.611
Br: 0.979 0.750 0.889
Br: 0.021 0.250 0.111
P: 0.499 0.750 0.137
P: 0.501 0.250 0.863
P: 0.501 0.750 0.637
P: 0.499 0.250 0.363